This record from Alexandria via LeMat-Bulk describes crystalline LiHf2Hg at its relaxed geometry. The functional is PBE-GGA.

Output
Calculated formation energy, kJ/mol of formula units: 166

abc: 7.787 7.787 5.489
angles: 90.00 90.00 90.00
Space group I-42d (No. 122)
Symmetry-distinct sites (fractional):
Li: 0.000 0.000 0.000
Hf: 0.242 0.250 0.125
Hg: 0.000 0.000 0.500

This record from Alexandria via LeMat-Bulk describes crystalline Li2HfHg2 at its relaxed geometry. The functional is PBE-GGA.

Output
Relative energy among the computed polymorphs, meV/atom: 203
Calculated formation energy, kJ/mol of formula units: 37

abc: 4.774 4.774 8.222
angles: 90.00 90.00 90.00
Space group I4/mmm (No. 139)
Symmetry-distinct sites (fractional):
Li: 0.000 0.000 0.132
Hf: 0.000 0.000 0.500
Hg: 0.000 0.500 0.250

This record from Alexandria via LeMat-Bulk describes crystalline Li2HfHg2 at its relaxed geometry. The functional is PBE-GGA.

Output
Relative energy among the computed polymorphs, meV/atom: 0
Calculated formation energy, kJ/mol of formula units: -61

abc: 7.779 7.779 2.989
angles: 90.00 90.00 90.00
Space group P4/mbm (No. 127)
Symmetry-distinct sites (fractional):
Li: 0.116 0.384 0.000
Hf: 0.000 0.000 0.000
Hg: 0.184 0.684 0.500

This record from Alexandria via LeMat-Bulk describes crystalline Li2HfHg at its relaxed geometry. The functional is PBE-GGA.

Output
Calculated formation energy, kJ/mol of formula units: 127

abc: 7.449 7.449 5.693
angles: 90.00 90.00 90.00
Space group I-42d (No. 122)
Symmetry-distinct sites (fractional):
Li: 0.217 0.250 0.125
Hf: 0.000 0.000 0.500
Hg: 0.000 0.000 0.000

This record from Alexandria via LeMat-Bulk describes crystalline LiHf2HgO at its relaxed geometry. The functional is PBE-GGA.

Output
E_form (uncorrected), meV per atom: -1113

abc: 4.396 4.396 4.148
angles: 90.00 90.00 90.00
Space group P4/mmm (No. 123)
Symmetry-distinct sites (fractional):
Li: 0.000 0.000 0.000
Hf: 0.000 0.500 0.500
Hg: 0.500 0.500 0.000
O: 0.000 0.000 0.500

This record from Alexandria via LeMat-Bulk describes crystalline Li2HfHgO at its relaxed geometry. The functional is PBE-GGA.

Output
E_form (uncorrected), meV per atom: -393

abc: 5.842 5.842 3.920
angles: 90.00 90.00 90.00
Space group P4/mmm (No. 123)
Symmetry-distinct sites (fractional):
Li: 0.000 0.500 0.000
Hf: 0.000 0.000 0.000
Hg: 0.500 0.500 0.500
O: 0.000 0.000 0.500

So what do the calculations give for energy? Going down the list: -81.62, -28.01, -30.04, -51.08, -32.64, -21.01 eV per cell.